KTaZn (GGA-PBE, optimized geometry); symmetry = P1; density of states at the Fermi level = 4.17 states/eV per cell; offset from the most stable computed form = 0.127 eV/atom; formation energy = 0.42 eV/atom; mass density = 5.7 g cm⁻³
1.0
3.492 0.000 0.004
0.000 3.464 0.004
-0.066 3.387 13.844
Ta K Zn
2 2 2
Direct
0.990 0.203 0.935 Ta
0.491 0.615 0.024 Ta
0.487 0.913 0.720 K
0.999 0.735 0.413 K
0.493 0.415 0.229 Zn
0.992 0.006 0.135 Zn

KZrTa (GGA-PBE, optimized geometry); symmetry = I4mm; density of states at the Fermi level = 4.68 states/eV per cell; offset from the most stable computed form = 0.565 eV/atom; formation energy = 1.01 eV/atom; mass density = 5.7 g cm⁻³
1.0
-2.549 -6.718 -1.620
0.932 -5.254 -5.078
2.662 4.940 4.772
K Zr Ta
1 1 1
Direct
0.995 0.995 0.000 K
0.715 0.715 0.000 Zr
0.290 0.290 0.000 Ta

KZr2Ta (GGA-PBE, optimized geometry); symmetry = Fm-3m; density of states at the Fermi level = 6.51 states/eV per cell; offset from the most stable computed form = 0.685 eV/atom; formation energy = 1.07 eV/atom; mass density = 7.1 g cm⁻³
1.0
-4.049 1.108 2.891
-4.662 -1.424 -1.490
-2.447 -3.715 2.489
Zr Ta K
2 1 1
Direct
0.250 0.250 0.250 Zr
0.750 0.750 0.750 Zr
0.500 0.500 0.500 Ta
0.000 0.000 0.000 K

K2ZrTa (GGA-PBE, optimized geometry); symmetry = C2/m; density of states at the Fermi level = 3.61 states/eV per cell; offset from the most stable computed form = 0.393 eV/atom; formation energy = 1.12 eV/atom; mass density = 5.2 g cm⁻³
1.0
5.337 0.000 0.002
-2.640 6.971 0.013
0.057 0.674 3.004
K Zr Ta
2 1 1
Direct
0.000 0.000 0.000 K
0.500 0.000 0.500 K
0.500 0.500 0.000 Zr
0.000 0.500 0.500 Ta

KZr2Ta (GGA-PBE, optimized geometry); symmetry = P4mm; density of states at the Fermi level = 2.94 states/eV per cell; offset from the most stable computed form = 0.266 eV/atom; formation energy = 0.65 eV/atom; mass density = 5.7 g cm⁻³
1.0
3.596 0.000 0.000
0.000 3.596 0.000
0.000 0.000 9.091
Zr Ta K
2 1 1
Direct
0.500 0.500 0.161 Zr
0.000 0.000 0.973 Zr
0.500 0.500 0.842 Ta
0.000 0.000 0.524 K

KZr3Ta (GGA-PBE, optimized geometry); symmetry = Pm-3m; density of states at the Fermi level = 9.90 states/eV per cell; offset from the most stable computed form = 1.089 eV/atom; formation energy = 2.10 eV/atom; mass density = 7.2 g cm⁻³
1.0
-4.366 -1.011 -1.846
-0.506 -3.623 3.180
-2.043 3.057 3.158
K Zr Ta
1 3 1
Direct
0.000 0.000 0.000 K
0.000 0.500 0.000 Zr
0.500 0.000 0.000 Zr
0.000 0.000 0.500 Zr
0.500 0.500 0.500 Ta